(1)
Below is an optimized crystal structure of Rb2RuSeCl6, with properties calculated at the PBE level.

Unit cell a=7.2749 b=7.2749 c=7.2749 alpha=112.99 beta=112.99 gamma=102.63
Last column: nearest neighbours and their distance in Å.
Sites, in units of the cell vectors:
Rb 0.2500 0.7500 0.5000  12 Cl 3.66-4.02
Rb 0.7500 0.2500 0.5000  12 Cl 3.66-4.02
Ru 0.0000 0.0000 0.0000  6 Cl 2.27-2.40
Se 0.5000 0.5000 0.0000  2 Cl 2.28
Cl 0.2114 0.2114 0.4227  1 Ru 2.40
Cl 0.2114 0.7886 0.0000  1 Ru 2.40
Cl 0.2494 0.2494 0.0000  1 Ru 2.27, 1 Se 2.28
Cl 0.7506 0.7506 0.0000  1 Ru 2.27, 1 Se 2.28
Cl 0.7886 0.2114 0.0000  1 Ru 2.40
Cl 0.7886 0.7886 0.5773  1 Ru 2.40

Calculated values
total magnetization = 2.0 μB per cell
E_form (uncorrected) = -8.40 eV/f.u.
DOS at the Fermi energy = 0.780 states/eV per atom



(2)
Below is an optimized crystal structure of Rb2SiRuCl6, with properties calculated at the PBE level.

Unit cell a=6.9112 b=6.9112 c=6.9112 alpha=115.65 beta=115.65 gamma=97.72
Last column: nearest neighbours and their distance in Å.
Sites, in units of the cell vectors:
Rb 0.2500 0.7500 0.5000  12 Cl 3.46-3.68
Rb 0.7500 0.2500 0.5000  12 Cl 3.46-3.68
Si 0.0000 0.0000 0.0000  2 Cl 2.25
Ru 0.5000 0.5000 0.0000  6 Cl 2.30-2.47
Cl 0.2472 0.2472 0.0000  1 Si 2.25, 1 Ru 2.30
Cl 0.2629 0.2629 0.5259  1 Ru 2.47, 1 Si 2.74
Cl 0.2629 0.7371 0.0000  1 Ru 2.47, 1 Si 2.74
Cl 0.7371 0.2629 0.0000  1 Ru 2.47, 1 Si 2.74
Cl 0.7371 0.7371 0.4741  1 Ru 2.47, 1 Si 2.74
Cl 0.7528 0.7528 0.0000  1 Si 2.25, 1 Ru 2.30

Calculated values
total magnetization = 0.0 μB per cell
E_form (uncorrected) = -9.52 eV/f.u.
DOS at the Fermi energy = 0.000 states/eV per atom



(3)
Below is an optimized crystal structure of RbSiRuCl2, with properties calculated at the PBE level.

Unit cell a=5.5608 b=5.5608 c=4.6011 alpha=90.00 beta=90.00 gamma=90.00
Last column: nearest neighbours and their distance in Å.
Sites, in units of the cell vectors:
Rb 0.0000 0.0000 0.0000  8 Cl 3.61, 4 Ru 3.93
Si 0.5000 0.5000 0.5000  2 Ru 2.30
Ru 0.5000 0.5000 0.0000  2 Si 2.30
Cl 0.0000 0.5000 0.5000  2 Si 2.78
Cl 0.5000 0.0000 0.5000  2 Si 2.78

Calculated values
total magnetization = 2.0 μB per cell
E_form (uncorrected) = -0.36 eV/f.u.
DOS at the Fermi energy = 2.437 states/eV per atom



(4)
Below is an optimized crystal structure of Rb2SnRuCl, with properties calculated at the PBE level.

Unit cell a=5.9150 b=5.9150 c=5.6675 alpha=90.00 beta=90.00 gamma=90.00
Last column: nearest neighbours and their distance in Å.
Sites, in units of the cell vectors:
Rb 0.0000 0.5000 0.0000  2 Cl 2.96
Rb 0.5000 0.0000 0.0000  2 Cl 2.96
Sn 0.0000 0.0000 0.5000  2 Cl 2.83
Ru 0.5000 0.5000 0.5000  8 Rb 4.10, 4 Sn 4.18
Cl 0.0000 0.0000 0.0000  2 Sn 2.83, 4 Rb 2.96

Calculated values
total magnetization = 2.2 μB per cell
E_form (uncorrected) = 2.74 eV/f.u.
DOS at the Fermi energy = 0.803 states/eV per atom



(5)
Below is an optimized crystal structure of RbSr2RuCl, with properties calculated at the PBE level.

Unit cell a=5.5645 b=5.5645 c=6.5925 alpha=90.00 beta=90.00 gamma=90.00
Last column: nearest neighbours and their distance in Å.
Sites, in units of the cell vectors:
Rb 0.0000 0.0000 0.0000  2 Ru 3.30
Sr 0.0000 0.5000 0.5000  2 Ru 2.78
Sr 0.5000 0.0000 0.5000  2 Ru 2.78
Ru 0.0000 0.0000 0.5000  4 Sr 2.78
Cl 0.5000 0.5000 0.0000  4 Rb 3.93, 8 Sr 4.31

Calculated values
total magnetization = 0.0 μB per cell
E_form (uncorrected) = -0.11 eV/f.u.
DOS at the Fermi energy = 0.441 states/eV per atom



(6)
Below is an optimized crystal structure of Rb2SrRuCl6, with properties calculated at the PBE level.

Unit cell a=7.4256 b=7.4256 c=7.4256 alpha=60.00 beta=60.00 gamma=60.00
Last column: nearest neighbours and their distance in Å.
Sites, in units of the cell vectors:
Rb 0.2500 0.2500 0.2500  12 Cl 3.72
Rb 0.7500 0.7500 0.7500  12 Cl 3.72
Sr 0.0000 0.0000 0.0000  6 Cl 2.83
Ru 0.5000 0.5000 0.5000  6 Cl 2.42
Cl 0.2697 0.2697 0.7303  1 Ru 2.42
Cl 0.2697 0.7303 0.2697  1 Ru 2.42
Cl 0.2697 0.7303 0.7303  1 Ru 2.42
Cl 0.7303 0.2697 0.2697  1 Ru 2.42
Cl 0.7303 0.2697 0.7303  1 Ru 2.42
Cl 0.7303 0.7303 0.2697  1 Ru 2.42

Calculated values
total magnetization = 0.0 μB per cell
E_form (uncorrected) = -15.59 eV/f.u.
DOS at the Fermi energy = 0.000 states/eV per atom



(7)
Below is an optimized crystal structure of Rb2TlRuCl8, with properties calculated at the PBE level.

Unit cell a=6.3897 b=7.4016 c=8.0940 alpha=89.84 beta=89.80 gamma=88.86
Last column: nearest neighbours and their distance in Å.
Sites, in units of the cell vectors:
Rb 0.0022 0.0011 0.2379  6 Cl 3.20-3.51
Rb 0.9978 0.9989 0.7621  6 Cl 3.20-3.51
Tl 0.5000 0.5000 0.5000  6 Cl 2.58-2.83
Ru 0.5000 0.5000 0.0000  6 Cl 2.35-2.38
Cl 0.2733 0.4037 0.2151  1 Ru 2.38
Cl 0.2739 0.4025 0.7867  1 Ru 2.38
Cl 0.3083 0.8099 0.5003  1 Tl 2.58
Cl 0.3360 0.7872 0.9989  1 Ru 2.35
Cl 0.6640 0.2128 0.0011  1 Ru 2.35
Cl 0.6917 0.1901 0.4997  1 Tl 2.58
Cl 0.7261 0.5975 0.2133  1 Ru 2.38
Cl 0.7267 0.5963 0.7849  1 Ru 2.38

Calculated values
total magnetization = 1.0 μB per cell
E_form (uncorrected) = -12.34 eV/f.u.
DOS at the Fermi energy = 0.549 states/eV per atom



(8)
Below is an optimized crystal structure of RbTlRuCl6, with properties calculated at the PBE level.

Unit cell a=7.5527 b=7.5527 c=6.1957 alpha=90.00 beta=90.00 gamma=120.00
Last column: nearest neighbours and their distance in Å.
Sites, in units of the cell vectors:
Rb 0.0000 0.0000 0.0000  6 Cl 3.21
Tl 0.6667 0.3333 0.5000  6 Cl 3.32
Ru 0.3333 0.6667 0.0000  6 Cl 2.36
Cl 0.0767 0.4167 0.2228  1 Ru 2.36
Cl 0.0767 0.6601 0.7772  1 Ru 2.36
Cl 0.3399 0.4167 0.7772  1 Ru 2.36
Cl 0.3399 0.9233 0.2228  1 Ru 2.36
Cl 0.5833 0.6601 0.2228  1 Ru 2.36
Cl 0.5833 0.9233 0.7772  1 Ru 2.36

Calculated values
total magnetization = 2.0 μB per cell
E_form (uncorrected) = -8.31 eV/f.u.
DOS at the Fermi energy = 0.812 states/eV per atom



(9)
Below is an optimized crystal structure of RbTl2RuCl8, with properties calculated at the PBE level.

Unit cell a=6.1846 b=9.0105 c=7.1717 alpha=90.00 beta=112.18 gamma=90.00
Last column: nearest neighbours and their distance in Å.
Sites, in units of the cell vectors:
Rb 0.0000 0.0000 0.0000  6 Cl 3.31-3.32
Tl 0.0000 0.2516 0.5000  6 Cl 2.87-3.08
Tl 0.0000 0.7484 0.5000  6 Cl 2.87-3.08
Ru 0.0000 0.5000 0.0000  6 Cl 2.33-2.36
Cl 0.2295 0.5000 0.8063  1 Ru 2.33
Cl 0.2356 0.3167 0.2166  1 Ru 2.36
Cl 0.2356 0.6833 0.2166  1 Ru 2.36
Cl 0.2840 0.0000 0.6883  2 Tl 2.87
Cl 0.7160 0.0000 0.3117  2 Tl 2.87
Cl 0.7644 0.3167 0.7834  1 Ru 2.36
Cl 0.7644 0.6833 0.7834  1 Ru 2.36
Cl 0.7705 0.5000 0.1937  1 Ru 2.33

Calculated values
total magnetization = 0.9 μB per cell
E_form (uncorrected) = -10.62 eV/f.u.
DOS at the Fermi energy = 0.728 states/eV per atom



(10)
Below is an optimized crystal structure of RbVRuCl6, with properties calculated at the PBE level.

Unit cell a=6.2274 b=6.2274 c=7.5824 alpha=90.00 beta=90.00 gamma=120.00
Last column: nearest neighbours and their distance in Å.
Sites, in units of the cell vectors:
Rb 0.0000 0.0000 0.0000  6 Cl 3.31
V 0.3333 0.6667 0.5000  6 Cl 2.43
Ru 0.6667 0.3333 0.5000  6 Cl 2.40
Cl 0.3629 0.0029 0.6795  1 Ru 2.40, 1 V 2.43
Cl 0.3629 0.3600 0.3205  1 Ru 2.40, 1 V 2.43
Cl 0.6400 0.0029 0.3205  1 Ru 2.40, 1 V 2.43
Cl 0.6400 0.6371 0.6795  1 Ru 2.40, 1 V 2.43
Cl 0.9971 0.3600 0.6795  1 Ru 2.40, 1 V 2.43
Cl 0.9971 0.6371 0.3205  1 Ru 2.40, 1 V 2.43

Calculated values
total magnetization = 2.0 μB per cell
E_form (uncorrected) = -9.84 eV/f.u.
DOS at the Fermi energy = 1.068 states/eV per atom



Q: What is the formula in the fourth record?
A: Rb2SnRuCl



Q: total magnetization of number 1 (Rb2RuSeCl6)?
A: 2.0 μB per cell



Q: Look up the DOS at the Fermi energy of the first one.
A: 0.780 states/eV per atom



Q: Look up the E_form (uncorrected) of the fourth one.
A: 2.74 eV/f.u.